Here is a geometry-optimized BaPuZn2 structure from Alexandria. Energies are from GGA-PBE.

Cell and atoms, written as POSCAR:
```
BaPuZn2
1.0
3.786 0.000 0.000
0.000 3.786 0.000
0.000 0.000 7.754
Ba Pu Zn
1 1 2
Cartesian
0.000 0.000 0.000
0.000 0.000 3.877
1.893 1.893 2.312
1.893 1.893 5.442
```

Calculated values
calculated volume	111.1	Å³ per cell
symmetry	No. 123
theoretical density	7652	kg/m³
ΔH_f (0 K)	-17	kJ/mol of formula units
ΔE to the lowest computed polymorph	0.00	eV per formula unit

***

Here is a geometry-optimized TiCrW2 structure from Alexandria. Energies are from GGA-PBE.

Cell and atoms, written as POSCAR:
```
TiCrW2
1.0
4.345 0.000 0.000
-2.173 3.763 0.000
0.000 0.000 7.754
Ti Cr W
2 2 4
Cartesian
0.000 0.000 1.554
0.000 0.000 6.200
0.000 2.509 5.556
2.173 1.254 2.199
0.000 2.509 0.420
0.000 2.509 3.135
2.173 1.254 4.619
2.173 1.254 7.334
```

Calculated values
calculated volume	126.8	Å³ per cell
symmetry	No. 164
theoretical density	12246	kg/m³
ΔH_f (0 K)	79	kJ/mol of formula units
ΔE to the lowest computed polymorph	0.76	eV per formula unit

***

Here is a geometry-optimized Ac2AgGeAu6 structure from Alexandria. Energies are from GGA-PBE.

Cell and atoms, written as POSCAR:
```
Ac2AgGeAu6
1.0
5.305 0.000 0.000
1.387 6.419 0.000
1.805 -0.239 7.059
Ac Ag Ge Au
2 1 1 6
Cartesian
1.144 1.675 2.005
7.353 4.505 5.054
3.555 -0.119 3.530
3.346 3.209 0.000
1.830 1.277 5.247
4.640 5.590 6.528
3.997 3.892 2.396
4.500 2.289 4.663
3.857 0.590 0.531
6.667 4.903 1.812
```

Calculated values
calculated volume	240.4	Å³ per cell
symmetry	No. 2
theoretical density	12548	kg/m³
ΔH_f (0 K)	-429	kJ/mol of formula units

***

Here is a geometry-optimized Sb2BrO3 structure from Alexandria. Energies are from GGA-PBE.

Cell and atoms, written as POSCAR:
```
Sb2BrO3
1.0
6.520 -1.701 0.000
6.520 1.701 0.000
-1.576 0.000 12.063
Sb Br O
4 2 6
Cartesian
1.181 0.000 3.742
4.379 0.000 2.397
7.084 0.000 9.666
10.282 0.000 8.322
3.314 0.000 10.753
8.150 0.000 1.310
-0.514 0.000 9.037
3.190 0.000 3.952
4.085 0.000 7.278
7.378 0.000 4.785
8.273 0.000 8.111
11.977 0.000 3.026
```

Calculated values
calculated volume	267.6	Å³ per cell
symmetry	No. 12
theoretical density	4609	kg/m³
ΔE to the lowest computed polymorph	0.60	eV per formula unit
raw formation energy	-0.9182	eV per atom

***

Here is a geometry-optimized MnCo2Re structure from Alexandria. Energies are from GGA-PBE.

Cell and atoms, written as POSCAR:
```
MnCo2Re
1.0
-1.740 1.740 8.398
1.740 -1.740 8.398
1.740 1.740 -8.398
Mn Co Re
2 4 2
Cartesian
0.000 0.000 0.000
0.000 1.740 4.199
2.610 0.807 -2.099
0.807 0.870 2.099
-0.870 0.933 6.298
0.933 0.870 10.497
1.740 0.000 4.199
0.000 0.000 8.398
```

Calculated values
calculated volume	101.7	Å³ per cell
symmetry	No. 122
theoretical density	11722	kg/m³
ΔH_f (0 K)	233	kJ/mol of formula units
ΔE to the lowest computed polymorph	2.36	eV per formula unit

***

Here is a geometry-optimized LaErTm structure from Alexandria. Energies are from GGA-PBE.

Cell and atoms, written as POSCAR:
```
LaErTm
1.0
5.663 0.000 0.000
-2.831 4.904 0.000
0.000 0.000 3.484
La Er Tm
1 1 1
Cartesian
0.000 0.000 0.000
0.000 3.270 0.000
2.831 1.635 1.742
```

Calculated values
calculated volume	96.8	Å³ per cell
symmetry	No. 187
theoretical density	8154	kg/m³
ΔH_f (0 K)	24	kJ/mol of formula units
ΔE to the lowest computed polymorph	0.15	eV per formula unit

***

Here is a geometry-optimized LaY3Tm2 structure from Alexandria. Energies are from GGA-PBE.

Cell and atoms, written as POSCAR:
```
LaY3Tm2
1.0
6.240 0.000 0.000
-0.007 7.201 0.000
-1.035 -1.798 8.628
La Y Tm
2 6 4
Cartesian
1.533 2.705 0.051
3.667 2.697 8.576
1.542 6.310 0.015
1.544 2.706 5.708
1.558 -0.901 5.715
3.641 6.303 2.913
3.656 2.696 2.920
3.657 -0.908 8.613
0.509 0.886 2.916
0.512 4.511 2.908
4.687 0.892 5.720
4.690 4.517 5.712
```

Calculated values
calculated volume	387.7	Å³ per cell
symmetry	No. 2
theoretical density	6369	kg/m³
ΔH_f (0 K)	2	kJ/mol of formula units

***

Here is a geometry-optimized Ac8HgRu4 structure from Alexandria. Energies are from GGA-PBE.

Cell and atoms, written as POSCAR:
```
Ac8HgRu4
1.0
7.356 -4.349 0.000
7.356 4.349 0.000
-7.326 0.000 7.546
Ac Hg Ru
8 1 4
Cartesian
-2.117 2.208 6.263
-2.064 0.000 2.496
2.156 0.000 4.990
9.503 2.208 1.284
-2.117 -2.208 6.263
5.230 0.000 2.556
9.450 0.000 5.050
9.503 -2.208 1.284
7.356 0.000 0.000
3.693 2.204 3.773
-3.628 0.000 7.539
11.014 0.000 0.008
3.693 -2.204 3.773
```

Calculated values
calculated volume	482.8	Å³ per cell
symmetry	No. 12
theoretical density	8326	kg/m³
ΔH_f (0 K)	-212	kJ/mol of formula units

***

Here is a geometry-optimized Zr2TlRh structure from Alexandria. Energies are from GGA-PBE.

Cell and atoms, written as POSCAR:
```
Zr2TlRh
1.0
1.647 0.951 9.166
-1.647 0.951 9.166
0.000 -1.901 9.166
Zr Tl Rh
2 1 1
Cartesian
0.000 0.000 0.000
0.000 0.000 6.669
0.000 0.000 13.276
0.000 0.000 20.222
```

Calculated values
calculated volume	86.1	Å³ per cell
symmetry	No. 160
theoretical density	9446	kg/m³
ΔH_f (0 K)	-48	kJ/mol of formula units

***

Here is a geometry-optimized Zn2CdIr structure from Alexandria. Energies are from GGA-PBE.

Cell and atoms, written as POSCAR:
```
Zn2CdIr
1.0
4.047 0.000 0.000
0.000 4.047 0.000
0.000 0.000 3.825
Zn Cd Ir
2 1 1
Cartesian
0.000 2.024 0.000
2.024 0.000 0.000
0.000 0.000 1.912
2.024 2.024 1.912
```

Calculated values
calculated volume	62.6	Å³ per cell
symmetry	No. 123
theoretical density	11542	kg/m³
ΔH_f (0 K)	-12	kJ/mol of formula units

***

Here is a geometry-optimized HfTiV2 structure from Alexandria. Energies are from GGA-PBE.

Cell and atoms, written as POSCAR:
```
HfTiV2
1.0
-3.508 3.508 2.748
3.508 -3.508 2.748
3.508 3.508 -2.748
Hf Ti V
2 2 4
Cartesian
0.000 0.000 0.000
0.000 3.508 1.374
3.508 0.000 1.374
0.000 0.000 2.748
1.754 -1.639 2.061
1.869 1.754 0.687
1.754 5.148 -0.687
1.639 1.754 3.435
```

Calculated values
calculated volume	135.3	Å³ per cell
symmetry	No. 122
theoretical density	8058	kg/m³
ΔH_f (0 K)	224	kJ/mol of formula units
ΔE to the lowest computed polymorph	1.83	eV per formula unit

***

Here is a geometry-optimized GaNF2 structure from Alexandria. Energies are from GGA-PBE.

Cell and atoms, written as POSCAR:
```
GaNF2
1.0
1.398 0.807 7.048
-1.398 0.807 7.048
0.000 -1.614 7.048
Ga N F
1 1 2
Cartesian
0.000 0.000 0.000
0.000 0.000 10.572
0.000 0.000 8.770
0.000 0.000 12.374
```

Calculated values
calculated volume	47.7	Å³ per cell
symmetry	No. 166
theoretical density	4236	kg/m³
ΔE to the lowest computed polymorph	1.88	eV per formula unit
raw formation energy	0.3280	eV per atom